No. 1
The following is a DFT calculation (PBE) of a geometry-optimized RbNbO2F structure.

Properties
Energy relative to the elements, uncorrected ... -2398 meV per atom
SG ... P4/mmm, No. 123

a b c (Å): 4.069 4.069 4.433
angles (deg): 90.00 90.00 90.00
Atoms (fractional coordinates):
Nb (0.000, 0.000, 0.000)
O (0.000, 0.500, 0.000)
O (0.500, 0.000, 0.000)
Rb (0.500, 0.500, 0.500)
F (0.000, 0.000, 0.500)

***

No. 2
The following is a DFT calculation (PBE) of a geometry-optimized Rb2NbOF6 structure.

Properties
Energy relative to the elements, uncorrected ... -2381 meV per atom
SG ... I4/mmm, No. 139

a b c (Å): 6.913 6.913 6.654
angles (deg): 58.71 58.71 90.00
Atoms (fractional coordinates):
Nb (0.000, 0.000, 0.000)
O (0.500, 0.500, 0.000)
Rb (0.750, 0.250, 0.500)
Rb (0.250, 0.750, 0.500)
F (0.215, 0.215, 0.571)
F (0.785, 0.785, 0.429)
F (0.202, 0.202, 0.000)
F (0.798, 0.798, 0.000)
F (0.798, 0.202, 0.000)
F (0.202, 0.798, 0.000)

***

No. 3
The following is a DFT calculation (PBE) of a geometry-optimized RbNbO3F structure.

Properties
Energy relative to the elements, uncorrected ... -1997 meV per atom
SG ... C2/c, No. 15

a b c (Å): 5.591 5.628 8.523
angles (deg): 70.72 89.17 87.50
Atoms (fractional coordinates):
Rb (0.250, 0.258, 0.485)
Rb (0.750, 0.742, 0.515)
Nb (0.750, 0.038, 0.925)
Nb (0.250, 0.962, 0.075)
O (0.463, 0.811, 0.953)
O (0.037, 0.236, 0.953)
O (0.750, 0.153, 0.695)
O (0.537, 0.189, 0.047)
O (0.963, 0.764, 0.047)
O (0.250, 0.847, 0.305)
F (0.250, 0.715, 0.570)
F (0.750, 0.285, 0.430)

***

No. 4
The following is a DFT calculation (PBE) of a geometry-optimized Rb5NbO4F2 structure.

Properties
Energy relative to the elements, uncorrected ... -2295 meV per atom
SG ... Amm2, No. 38

a b c (Å): 6.663 6.319 8.068
angles (deg): 90.00 90.00 121.81
Atoms (fractional coordinates):
Rb (0.083, 0.368, 0.239)
Rb (0.409, 0.000, 0.500)
Rb (0.083, 0.368, 0.761)
Rb (0.715, 0.632, 0.761)
Rb (0.715, 0.632, 0.239)
Nb (0.413, 0.000, 0.000)
O (0.580, 0.000, 0.189)
O (0.580, 0.000, 0.811)
O (0.390, 0.285, 0.000)
O (0.105, 0.715, 0.000)
F (0.959, 0.585, 0.500)
F (0.374, 0.415, 0.500)

***

No. 5
The following is a DFT calculation (PBE) of a geometry-optimized NbReOF2 structure.

Properties
Energy relative to the elements, uncorrected ... -556 meV per atom
SG ... P4/mmm, No. 123

a b c (Å): 4.418 4.418 3.998
angles (deg): 90.00 90.00 90.00
Atoms (fractional coordinates):
Re (0.500, 0.500, 0.500)
Nb (0.000, 0.000, 0.000)
O (0.000, 0.000, 0.500)
F (0.000, 0.500, 0.000)
F (0.500, 0.000, 0.000)

***

No. 6
The following is a DFT calculation (PBE) of a geometry-optimized NbReOF2 structure.

Properties
Energy relative to the elements, uncorrected ... -232 meV per atom
SG ... P4/mmm, No. 123

a b c (Å): 4.394 4.394 3.779
angles (deg): 90.00 90.00 90.00
Atoms (fractional coordinates):
Re (0.000, 0.000, 0.000)
Nb (0.500, 0.500, 0.500)
O (0.000, 0.000, 0.500)
F (0.000, 0.500, 0.000)
F (0.500, 0.000, 0.000)